First-principles (PBE+U) data for a geometry-optimized KAcVF6 structure, as listed in the Alexandria database. Values from VASP.

Cell and atoms, written as Quantum ESPRESSO input:
```
&SYSTEM
  ibrav = 0, nat = 18, ntyp = 4
/
ATOMIC_SPECIES
F 19.00 F.upf
Ac 227.00 Ac.upf
V 50.94 V.upf
K 39.10 K.upf
ATOMIC_POSITIONS crystal
F 0.127 0.877 0.254
F 0.409 0.159 0.818
F 0.873 0.123 0.746
F 0.544 0.394 0.727
F 0.183 0.394 0.727
Ac 0.500 0.000 0.500
F 0.591 0.841 0.182
V 0.500 0.000 0.000
F 0.817 0.606 0.273
K 0.192 0.442 0.385
F 0.456 0.167 0.273
F 0.456 0.606 0.273
F 0.544 0.833 0.727
Ac 0.000 0.000 0.500
F 0.817 0.167 0.273
F 0.183 0.833 0.727
K 0.808 0.558 0.615
V 0.500 0.500 0.000
CELL_PARAMETERS angstrom
-1.897 -6.827 4.341
2.960 -4.304 -5.476
4.215 5.774 2.969
```

Output
The value obtained for the total energy is -107.65 eV/cell. The magnetic moment comes out at 6.0 μB per cell.